No. 1
First-principles (PBE) data for a relaxed structure of ReSeSCl2, as listed in the Alexandria database.

Lattice parameters (Å, degrees): 4.781 4.781 5.083 90.00 90.00 90.00
Space group P4/mmm (No. 123)
Unique sites:
Re 0.000 0.000 0.000 (multiplicity 1)
Se 0.500 0.500 0.000 (multiplicity 1)
S 0.500 0.500 0.500 (multiplicity 1)
Cl 0.000 0.500 0.500 (multiplicity 2)

Summary:
DOS at the Fermi energy   1.56 states/eV/cell
Energy above the lowest structure with this stoichiometry   17.953 kcal/mol of atoms
Formation energy from raw total energies   1225 meV per atom



No. 2
First-principles (PBE) data for a relaxed structure of ReSeSCl2, as listed in the Alexandria database.

Lattice parameters (Å, degrees): 5.014 5.014 4.992 90.00 90.00 90.00
Space group P4/mmm (No. 123)
Unique sites:
Re 0.000 0.000 0.000 (multiplicity 1)
Se 0.500 0.500 0.500 (multiplicity 1)
S 0.500 0.500 0.000 (multiplicity 1)
Cl 0.000 0.500 0.500 (multiplicity 2)

Summary:
DOS at the Fermi energy   1.71 states/eV/cell
Energy above the lowest structure with this stoichiometry   18.749 kcal/mol of atoms
Formation energy from raw total energies   1260 meV per atom



No. 3
First-principles (PBE) data for a relaxed structure of ReSeSCl2, as listed in the Alexandria database.

Lattice parameters (Å, degrees): 4.762 4.762 4.587 90.00 90.00 90.00
Space group P4/mmm (No. 123)
Unique sites:
Re 0.000 0.000 0.000 (multiplicity 1)
Se 0.500 0.500 0.500 (multiplicity 1)
S 0.000 0.000 0.500 (multiplicity 1)
Cl 0.000 0.500 0.000 (multiplicity 2)

Summary:
DOS at the Fermi energy   4.63 states/eV/cell
Energy above the lowest structure with this stoichiometry   0.000 kcal/mol of atoms
Formation energy from raw total energies   447 meV per atom



No. 4
First-principles (PBE) data for a relaxed structure of ReSi2SCl, as listed in the Alexandria database.

Lattice parameters (Å, degrees): 5.035 5.035 4.357 90.00 90.00 90.00
Space group P4/mmm (No. 123)
Unique sites:
Re 0.000 0.000 0.000 (multiplicity 1)
Si 0.000 0.500 0.500 (multiplicity 2)
S 0.000 0.000 0.500 (multiplicity 1)
Cl 0.500 0.500 0.000 (multiplicity 1)

Summary:
DOS at the Fermi energy   3.85 states/eV/cell
Formation energy from raw total energies   1262 meV per atom



No. 5
First-principles (PBE) data for a relaxed structure of ReSnS2Cl, as listed in the Alexandria database.

Lattice parameters (Å, degrees): 4.631 4.631 5.024 90.00 90.00 90.00
Space group P4/mmm (No. 123)
Unique sites:
Re 0.000 0.000 0.000 (multiplicity 1)
Sn 0.500 0.500 0.500 (multiplicity 1)
S 0.000 0.500 0.000 (multiplicity 2)
Cl 0.000 0.000 0.500 (multiplicity 1)

Summary:
DOS at the Fermi energy   4.65 states/eV/cell
Energy above the lowest structure with this stoichiometry   0.000 kcal/mol of atoms
Formation energy from raw total energies   122 meV per atom



No. 6
First-principles (PBE) data for a relaxed structure of ReSnS2Cl, as listed in the Alexandria database.

Lattice parameters (Å, degrees): 5.058 5.058 5.030 90.00 90.00 90.00
Space group P4/mmm (No. 123)
Unique sites:
Re 0.000 0.000 0.000 (multiplicity 1)
Sn 0.500 0.500 0.500 (multiplicity 1)
S 0.000 0.500 0.500 (multiplicity 2)
Cl 0.500 0.500 0.000 (multiplicity 1)

Summary:
DOS at the Fermi energy   2.31 states/eV/cell
Energy above the lowest structure with this stoichiometry   22.364 kcal/mol of atoms
Formation energy from raw total energies   1092 meV per atom